# 1
14
Lattice="6.249 0.000 0.000 -3.125 5.924 -0.316 0.000 -3.479 5.721" Properties=species:S:1:pos:R:3 comment="CaCuPbO4, optimized geometry, DFT PBE" e_form_raw_ev_per_atom=-1.337 energy_ev_per_atom=-5.571 spacegroup=Imma pbc="T T T"
Ca 3.125 3.631 0.249
Ca 0.000 -1.186 5.156
O 1.406 4.794 0.956
O 1.719 -2.349 4.449
Cu -1.562 1.222 2.703
O -1.406 4.794 0.956
Pb 3.125 -1.739 2.861
O 3.125 1.682 1.478
O 0.000 2.099 1.731
O 0.000 0.763 3.927
O 3.125 0.346 3.674
Pb 3.125 0.000 0.000
O 4.531 -2.349 4.449
Cu 1.562 1.222 2.703

# 2
8
Lattice="-0.435 -2.845 -1.718 5.743 0.347 -2.028 -0.701 -3.035 5.204" Properties=species:S:1:pos:R:3 comment="Ca2DyPdO4, optimized geometry, DFT PBE" e_form_raw_ev_per_atom=-2.420 energy_ev_per_atom=-6.624 spacegroup=P2/m pbc="T T T"
Pd 0.000 0.000 0.000
O 1.135 -2.120 3.225
Ca 2.521 -1.344 1.588
O 1.138 -2.031 -0.195
O 3.469 -3.503 1.653
Ca -0.568 -2.940 1.743
O 3.907 -0.568 -0.049
Dy 2.654 -1.249 -1.873

# 3
4
Lattice="-2.032 2.851 7.607 -3.043 -2.138 -3.012 -1.815 -2.688 3.734" Properties=species:S:1:pos:R:3 comment="CaLa2As, optimized geometry, DFT PBE" ef_ev_per_atom=-0.466 energy_ev_per_atom=-4.592 spacegroup=Cmmm pbc="T T T"
La -1.924 0.082 5.671
Ca -2.538 0.357 2.298
La 0.000 0.000 0.000
As -2.429 -2.413 0.361

# 4
4
Lattice="7.184 0.002 0.000 5.990 3.965 0.000 -1.196 -0.360 3.943" Properties=species:S:1:pos:R:3 comment="TeSe, optimized geometry, DFT PBE" e_form_raw_ev_per_atom=0.058 energy_ev_per_atom=-3.255 spacegroup=C2/m pbc="T T T"
Se 0.083 0.025 0.031
Se 8.901 2.680 2.927
Te 3.092 0.931 1.015
Te 5.892 1.774 1.943

# 5
4
Lattice="-1.291 -1.550 -4.730 3.665 -1.136 -3.423 0.780 -4.884 -1.407" Properties=species:S:1:pos:R:3 comment="CeTmMgCu, optimized geometry, DFT PBE" ef_ev_per_atom=0.033 energy_ev_per_atom=-3.991 spacegroup=F-43m pbc="T T T"
Tm 1.577 -3.785 -4.780
Ce 0.000 0.000 0.000
Mg 2.365 -5.677 -7.170
Cu 0.788 -1.892 -2.390

# 6
5
Lattice="-4.278 2.312 0.065 -0.774 -1.302 -4.621 -2.180 -4.075 1.513" Properties=species:S:1:pos:R:3 comment="TaSnS3, optimized geometry, DFT PBE" e_form_raw_ev_per_atom=0.919 energy_ev_per_atom=-4.728 spacegroup=Pm-3m pbc="T T T"
S -1.090 -2.038 0.757
Ta -3.616 -1.533 -1.522
S -0.387 -0.651 -2.311
Sn 0.000 0.000 0.000
S -2.139 1.156 0.032

Copy entry 1 word for word.
14
Lattice="6.249 0.000 0.000 -3.125 5.924 -0.316 0.000 -3.479 5.721" Properties=species:S:1:pos:R:3 comment="CaCuPbO4, optimized geometry, DFT PBE" e_form_raw_ev_per_atom=-1.337 energy_ev_per_atom=-5.571 spacegroup=Imma pbc="T T T"
Ca 3.125 3.631 0.249
Ca 0.000 -1.186 5.156
O 1.406 4.794 0.956
O 1.719 -2.349 4.449
Cu -1.562 1.222 2.703
O -1.406 4.794 0.956
Pb 3.125 -1.739 2.861
O 3.125 1.682 1.478
O 0.000 2.099 1.731
O 0.000 0.763 3.927
O 3.125 0.346 3.674
Pb 3.125 0.000 0.000
O 4.531 -2.349 4.449
Cu 1.562 1.222 2.703

What did the sixth record say?
5
Lattice="-4.278 2.312 0.065 -0.774 -1.302 -4.621 -2.180 -4.075 1.513" Properties=species:S:1:pos:R:3 comment="TaSnS3, optimized geometry, DFT PBE" e_form_raw_ev_per_atom=0.919 energy_ev_per_atom=-4.728 spacegroup=Pm-3m pbc="T T T"
S -1.090 -2.038 0.757
Ta -3.616 -1.533 -1.522
S -0.387 -0.651 -2.311
Sn 0.000 0.000 0.000
S -2.139 1.156 0.032